1.
Cr2TcRu: optimized geometry, PBE.

- total magnetic moment (μB/f.u.) = 0.00
- electronic total energy (eV/atom) = -9.505

Cell and atoms, written as CIF:
```
data_Cr2TcRu
_cell_length_a 2.9621
_cell_length_b 4.3038
_cell_length_c 8.2832
_cell_angle_alpha 90.00
_cell_angle_beta 90.00
_cell_angle_gamma 90.00
_symmetry_space_group_name_H-M 'C m m m'
_symmetry_Int_Tables_number 65
_symmetry_space_group_name_Hall '-C 2 2'
loop_
_atom_site_label
_atom_site_type_symbol
_atom_site_fract_x
_atom_site_fract_y
_atom_site_fract_z
_atom_site_occupancy
Cr1 Cr 0.0000 0.0000 0.2499 1
Tc1 Tc 0.0000 0.5000 0.0000 1
Ru1 Ru 0.0000 0.5000 0.5000 1
```

2.
TbSc2Te4: optimized geometry, PBE.

- E above lowest polymorph (meV/atom) = 36
- total magnetic moment (μB/f.u.) = 0.00
- energy relative to the elements, uncorrected (meV/atom) = -1249
- electronic total energy (eV/atom) = -5.514

Cell and atoms, written as CIF:
```
data_TbSc2Te4
_cell_length_a 4.1513
_cell_length_b 13.7189
_cell_length_c 14.4634
_cell_angle_alpha 90.00
_cell_angle_beta 90.00
_cell_angle_gamma 90.00
_symmetry_space_group_name_H-M 'C m c m'
_symmetry_Int_Tables_number 63
_symmetry_space_group_name_Hall '-C 2c 2'
loop_
_atom_site_label
_atom_site_type_symbol
_atom_site_fract_x
_atom_site_fract_y
_atom_site_fract_z
_atom_site_occupancy
Tb1 Tb 0.0000 0.1263 0.2500 1
Sc1 Sc 0.0000 0.3714 0.0662 1
Te1 Te 0.0000 0.0000 0.0000 1
Te2 Te 0.0000 0.2742 0.6174 1
Te3 Te 0.0000 0.4588 0.2500 1
```

3.
YTm2Ag2Pb2: optimized geometry, PBE.

- total magnetic moment (μB/f.u.) = 0.00
- electronic total energy (eV/atom) = -4.340

Cell and atoms, written as CIF:
```
data_YTm2Ag2Pb2
_cell_length_a 4.9155
_cell_length_b 4.9155
_cell_length_c 25.7714
_cell_angle_alpha 90.00
_cell_angle_beta 90.00
_cell_angle_gamma 120.00
_symmetry_space_group_name_H-M 'R -3 m'
_symmetry_Int_Tables_number 166
_symmetry_space_group_name_Hall '-R 3 2"'
loop_
_atom_site_label
_atom_site_type_symbol
_atom_site_fract_x
_atom_site_fract_y
_atom_site_fract_z
_atom_site_occupancy
Y1 Y 0.0000 0.0000 0.0000 1
Tm1 Tm 0.0000 0.0000 0.1342 1
Ag1 Ag 0.0000 0.0000 0.4427 1
Pb1 Pb 0.0000 0.0000 0.2670 1
```

| no. | N(E_F) (states/eV per cell) |
| --- | --- |
| 1 | 12.7 |
| 2 | 13.6 |
| 3 | 12.0 |